1.
! CaCrAg2Bi PBE-GGA optimized geometry; values from VASP
&SYSTEM
  ibrav = 0, nat = 5, ntyp = 4
/
ATOMIC_SPECIES
Cr 52.00 Cr.upf
Bi 208.98 Bi.upf
Ag 107.87 Ag.upf
Ca 40.08 Ca.upf
ATOMIC_POSITIONS crystal
Cr 0.000 0.000 0.000
Bi 0.500 0.500 0.500
Ag 0.000 0.000 0.500
Ca 0.000 0.500 0.000
Ag 0.500 0.000 0.000
CELL_PARAMETERS angstrom
5.041 0.000 0.000
0.000 5.487 0.000
0.000 0.000 5.041
! magnetic moment = 4.8 μB/f.u.
! DFT formation energy = 611 meV per atom
! space group = No. 123

2.
! Cs2CaAgBi2 PBE-GGA optimized geometry; values from VASP
&SYSTEM
  ibrav = 0, nat = 12, ntyp = 4
/
ATOMIC_SPECIES
Bi 208.98 Bi.upf
Ca 40.08 Ca.upf
Ag 107.87 Ag.upf
Cs 132.91 Cs.upf
ATOMIC_POSITIONS crystal
Bi 0.363 0.588 0.177
Ca 0.000 0.750 0.000
Ag 0.500 0.250 0.000
Bi 0.637 0.412 0.823
Cs 0.435 0.173 0.346
Bi 0.814 0.088 0.177
Ca 0.000 0.250 0.000
Cs 0.911 0.673 0.346
Ag 0.500 0.750 0.000
Cs 0.089 0.327 0.654
Bi 0.186 0.912 0.823
Cs 0.565 0.827 0.654
CELL_PARAMETERS angstrom
7.529 0.000 0.000
0.000 7.753 0.000
-3.765 -3.877 8.792
! magnetic moment = 0.0 μB/f.u.
! DFT formation energy = -392 meV per atom
! space group = No. 72

3.
! CaDyAgBi PBE-GGA optimized geometry; values from VASP
&SYSTEM
  ibrav = 0, nat = 4, ntyp = 4
/
ATOMIC_SPECIES
Ag 107.87 Ag.upf
Dy 162.50 Dy.upf
Ca 40.08 Ca.upf
Bi 208.98 Bi.upf
ATOMIC_POSITIONS crystal
Ag 0.250 0.250 0.250
Dy 0.000 0.000 0.000
Ca 0.500 0.500 0.500
Bi 0.750 0.750 0.750
CELL_PARAMETERS angstrom
5.353 0.000 0.000
2.677 4.636 0.000
2.677 1.545 4.371
! magnetic moment = 0.0 μB/f.u.
! DFT formation energy = -459 meV per atom
! space group = No. 216

4.
! CaErAgBi PBE-GGA optimized geometry; values from VASP
&SYSTEM
  ibrav = 0, nat = 4, ntyp = 4
/
ATOMIC_SPECIES
Ca 40.08 Ca.upf
Bi 208.98 Bi.upf
Er 167.26 Er.upf
Ag 107.87 Ag.upf
ATOMIC_POSITIONS crystal
Ca 0.500 0.500 0.500
Bi 0.750 0.750 0.750
Er 0.000 0.000 0.000
Ag 0.250 0.250 0.250
CELL_PARAMETERS angstrom
5.336 0.000 0.000
2.668 4.621 0.000
2.668 1.540 4.357
! magnetic moment = 0.0 μB/f.u.
! DFT formation energy = -439 meV per atom
! space group = No. 216